Entry A
First-principles (SCAN) data for a crystal of Sr4GeN4 relaxed with PBEsol, as listed in the Alexandria database.

Computed properties:
space group	C2/c

Cell and atoms, written as POSCAR:
```
Sr4GeN4
1.0
6.6784 0.0000 -0.0046
3.3392 5.9240 -0.0023
2.3054 0.0000 8.1403
Sr N Ge
8 8 2
Direct
0.5880 0.2933 0.8658
0.0355 0.2252 0.0578
0.4120 0.7067 0.1342
0.2608 0.7748 0.5578
0.8812 0.7067 0.3658
0.7392 0.2252 0.4422
0.9645 0.7748 0.9422
0.1188 0.2933 0.6342
0.7873 0.9210 0.6594
0.3171 0.4613 0.4082
0.2127 0.0790 0.3406
0.2216 0.4613 0.0918
0.2917 0.9210 0.8406
0.6829 0.5387 0.5918
0.7083 0.0790 0.1594
0.7784 0.5387 0.9082
0.3758 0.2485 0.2500
0.6242 0.7515 0.7500
```

***

Entry B
First-principles (SCAN) data for a crystal of Sr4GeN4 relaxed with PBEsol, as listed in the Alexandria database.

Computed properties:
space group	Pnna

Cell and atoms, written as POSCAR:
```
Sr4GeN4
1.0
6.0474 0.0000 0.0000
0.0000 9.7631 0.0000
0.0000 0.0000 11.7052
Ge Sr N
4 16 16
Direct
0.2500 0.2535 0.0000
0.2500 0.2465 0.5000
0.7500 0.7465 0.0000
0.7500 0.7535 0.5000
0.6174 0.1031 0.1285
0.8567 0.7500 0.7500
0.2500 0.9278 0.5000
0.7500 0.0722 0.5000
0.7500 0.4278 0.0000
0.8826 0.1031 0.8715
0.6174 0.3969 0.3715
0.2500 0.5722 0.0000
0.1433 0.2500 0.2500
0.3826 0.6031 0.6285
0.1174 0.6031 0.3715
0.3826 0.8969 0.8715
0.1174 0.8969 0.1285
0.6433 0.7500 0.2500
0.8826 0.3969 0.6285
0.3567 0.2500 0.7500
0.4028 0.1421 0.3863
0.0145 0.3530 0.4293
0.5145 0.6470 0.4293
0.0972 0.3579 0.8863
0.9855 0.6470 0.5707
0.5972 0.6421 0.8863
0.9028 0.8579 0.3863
0.9855 0.8530 0.9293
0.9028 0.6421 0.1137
0.5972 0.8579 0.6137
0.4855 0.1470 0.9293
0.5145 0.8530 0.0707
0.4028 0.3579 0.1137
0.0145 0.1470 0.0707
0.4855 0.3530 0.5707
0.0972 0.1421 0.6137
```

***

Relative energies, in eV/atom, with the most stable structure set to zero: entry A 0.000; entry B 0.085.

***

Entry A
First-principles (SCAN) data for a crystal of Na3GeW relaxed with PBEsol, as listed in the Alexandria database.

Computed properties:
space group	Pm-3m

Cell and atoms, written as POSCAR:
```
Na3GeW
1.0
-3.4684 -3.7809 -1.5961
4.0213 -2.7137 -2.3101
0.8194 -2.6857 4.5813
Ge Na W
1 3 1
Direct
0.0000 0.0000 0.0000
0.0000 0.0000 0.5000
0.0000 0.5000 0.0000
0.5000 0.0000 0.0000
0.5000 0.5000 0.5000
```

***

Entry B
First-principles (SCAN) data for a crystal of Na3GeW relaxed with PBEsol, as listed in the Alexandria database.

Computed properties:
space group	Pm-3m

Cell and atoms, written as POSCAR:
```
Na3GeW
1.0
5.6316 0.0000 0.0000
0.0000 5.6316 0.0000
0.0000 0.0000 5.6316
Ge Na W
1 3 1
Direct
0.5000 0.5000 0.5000
0.5000 0.0000 0.0000
0.0000 0.0000 0.5000
0.0000 0.5000 0.0000
0.0000 0.0000 0.0000
```

***

Relative energies, in eV/atom, with the most stable structure set to zero: entry A 0.000; entry B 0.290.

***

Entry A
First-principles (SCAN) data for a crystal of Ge4PbO9 relaxed with PBEsol, as listed in the Alexandria database.

Computed properties:
space group	C2

Cell and atoms, written as POSCAR:
```
Ge4PbO9
1.0
-2.2659 3.8621 1.3591
-2.1897 -4.7261 4.3737
6.5497 1.6908 0.7094
O Ge Pb
9 4 1
Direct
0.3970 0.9055 0.5424
0.5116 0.2279 0.3758
0.4884 0.6242 0.7721
0.8688 0.7145 0.5567
0.1591 0.7154 0.0775
0.1312 0.4433 0.2855
0.6030 0.4576 0.0945
0.8409 0.9225 0.2846
0.0000 0.2445 0.7555
0.0000 0.6919 0.3081
0.6800 0.0684 0.4857
0.3200 0.5143 0.9316
0.5000 0.5139 0.4861
0.0000 0.0026 0.9974
```

***

Entry B
First-principles (SCAN) data for a crystal of Ge4PbO9 relaxed with PBEsol, as listed in the Alexandria database.

Computed properties:
space group	P321

Cell and atoms, written as POSCAR:
```
Ge4PbO9
1.0
4.7932 0.0000 0.0000
0.0000 11.3611 0.0000
0.0000 -5.6805 9.8390
O Ge Pb
27 12 3
Direct
0.7102 0.7840 0.6757
0.2385 0.1542 0.0960
0.1191 0.4236 0.8203
0.5000 0.5101 0.5101
0.8809 0.6032 0.1797
0.2385 0.9418 0.8458
0.2898 0.1083 0.3243
0.6672 0.2471 0.7371
0.7615 0.0960 0.1542
0.3328 0.7371 0.2471
0.2898 0.6757 0.7840
0.7615 0.8458 0.9418
0.8809 0.8203 0.4236
0.6672 0.2629 0.5100
0.6672 0.4900 0.7529
0.3328 0.7529 0.4900
0.3328 0.5100 0.2629
0.2385 0.9040 0.0582
0.8809 0.5764 0.3968
0.7102 0.3243 0.1083
0.5000 0.0000 0.4899
0.7615 0.0582 0.9040
0.1191 0.3968 0.5764
0.7102 0.8917 0.2160
0.5000 0.4899 0.0000
0.1191 0.1797 0.6032
0.2898 0.2160 0.8917
0.3984 0.1503 0.4916
0.3984 0.3413 0.8497
0.5000 0.1792 0.0000
0.6016 0.4916 0.1503
0.8880 0.3333 0.6667
0.6016 0.6587 0.5084
0.6016 0.8497 0.3413
0.1120 0.6667 0.3333
0.3984 0.5084 0.6587
0.5000 0.0000 0.1792
0.5000 0.8208 0.8208
0.0000 0.0000 0.0000
0.0000 0.0000 0.6742
0.0000 0.3258 0.3258
0.0000 0.6742 0.0000
```

***

Relative energies, in eV/atom, with the most stable structure set to zero: entry A 0.000; entry B 0.007.

***

Entry A
First-principles (SCAN) data for a crystal of Y2Ge2O7 relaxed with PBEsol, as listed in the Alexandria database.

Computed properties:
space group	C2/m

Cell and atoms, written as POSCAR:
```
Y2Ge2O7
1.0
-3.6012 0.3489 -3.3833
-2.0573 -4.5739 2.7872
-1.5365 4.5281 3.1714
Ge O Y
2 7 2
Direct
0.4085 0.2300 0.2300
0.5915 0.7700 0.7700
0.2116 0.0810 0.3990
0.5000 0.0000 0.0000
0.2757 0.5993 0.5993
0.7243 0.4007 0.4007
0.7884 0.6010 0.9190
0.7884 0.9190 0.6010
0.2116 0.3990 0.0810
0.0000 0.3058 0.6942
0.0000 0.6942 0.3058
```

***

Entry B
First-principles (SCAN) data for a crystal of Y2Ge2O7 relaxed with PBEsol, as listed in the Alexandria database.

Computed properties:
space group	P4_32_12

Cell and atoms, written as POSCAR:
```
Y2Ge2O7
1.0
-1.5133 3.4740 -5.6406
-5.9450 -3.2649 -0.4159
-5.3163 8.8077 6.8510
Y O Ge
8 28 8
Direct
0.1470 0.3745 0.1147
0.8745 0.3530 0.3647
0.6255 0.8530 0.3853
0.1255 0.6470 0.8647
0.3745 0.1470 0.8853
0.3530 0.8745 0.6353
0.8530 0.6255 0.6147
0.6470 0.1255 0.1353
0.4675 0.4219 0.1276
0.6446 0.8178 0.2056
0.9675 0.0781 0.1224
0.4346 0.8382 0.8213
0.1618 0.5654 0.6787
0.6618 0.9346 0.5713
0.3178 0.8554 0.4556
0.8022 0.1978 0.7500
0.3382 0.0654 0.0713
0.5654 0.1618 0.3213
0.0325 0.9219 0.6224
0.6978 0.6978 0.0000
0.5781 0.5325 0.3724
0.3022 0.3022 0.5000
0.8554 0.3178 0.5444
0.1446 0.6822 0.0444
0.3554 0.1822 0.7056
0.9346 0.6618 0.4287
0.4219 0.4675 0.8724
0.1822 0.3554 0.2944
0.1978 0.8022 0.2500
0.5325 0.5781 0.6276
0.8178 0.6446 0.7944
0.9219 0.0325 0.3776
0.6822 0.1446 0.9556
0.0781 0.9675 0.8776
0.0654 0.3382 0.9287
0.8382 0.4346 0.1787
0.8477 0.1001 0.6190
0.8999 0.1523 0.8810
0.3999 0.3477 0.3690
0.1523 0.8999 0.1190
0.6001 0.6523 0.8690
0.1001 0.8477 0.3810
0.3477 0.3999 0.6310
0.6523 0.6001 0.1310
```

***

Entry C
First-principles (SCAN) data for a crystal of Y2Ge2O7 relaxed with PBEsol, as listed in the Alexandria database.

Computed properties:
space group	Fd-3m

Cell and atoms, written as POSCAR:
```
Y2Ge2O7
1.0
7.0048 0.0000 0.0000
3.5024 6.0663 0.0000
3.5024 2.0221 5.7194
O Y Ge
14 4 4
Direct
0.2030 0.7970 0.2030
0.2030 0.2030 0.7970
0.7970 0.7970 0.2030
0.0470 0.4530 0.0470
0.0470 0.4530 0.4530
0.0470 0.0470 0.4530
0.4530 0.0470 0.4530
0.7970 0.2030 0.2030
0.7500 0.7500 0.7500
0.7970 0.2030 0.7970
0.4530 0.0470 0.0470
0.5000 0.5000 0.5000
0.2030 0.7970 0.7970
0.4530 0.4530 0.0470
0.6250 0.6250 0.6250
0.1250 0.6250 0.6250
0.6250 0.6250 0.1250
0.6250 0.1250 0.6250
0.1250 0.6250 0.1250
0.6250 0.1250 0.1250
0.1250 0.1250 0.6250
0.1250 0.1250 0.1250
```

***

Relative energies, in eV/atom, with the most stable structure set to zero: entry A 0.031; entry B 0.015; entry C 0.000.